# 1
The following is a PBE calculation of an optimized crystal structure of MgInBiOs2, from Alexandria.

Space-group type: P4/mmm, No. 123
Total moment in Bohr magnetons per cell: 0.000
ΔH_f (0 K) in meV per atom: 1686

```
MgInBiOs2
1.0
4.957 0.000 0.000
0.000 4.957 0.000
0.000 0.000 4.855
Mg In Bi Os
1 1 1 2
Direct
0.000 0.000 0.000 Mg
0.000 0.000 0.500 In
0.500 0.500 0.000 Bi
0.000 0.500 0.500 Os
0.500 0.000 0.500 Os
```



# 2
The following is a PBE calculation of an optimized crystal structure of Tb4CrGa12, from Alexandria.

Space-group type: Im-3m, No. 229
Total moment in Bohr magnetons per cell: 2.013
ΔH_f (0 K) in meV per atom: -510

```
Tb4CrGa12
1.0
-4.322 4.322 4.322
4.322 -4.322 4.322
4.322 4.322 -4.322
Tb Cr Ga
4 1 12
Direct
0.000 0.000 0.500 Tb
0.000 0.500 0.000 Tb
0.500 0.000 0.000 Tb
0.500 0.500 0.500 Tb
0.000 0.000 0.000 Cr
0.000 0.288 0.288 Ga
0.000 0.712 0.712 Ga
0.250 0.500 0.750 Ga
0.250 0.750 0.500 Ga
0.288 0.000 0.288 Ga
0.288 0.288 0.000 Ga
0.500 0.250 0.750 Ga
0.500 0.750 0.250 Ga
0.712 0.000 0.712 Ga
0.712 0.712 0.000 Ga
0.750 0.250 0.500 Ga
0.750 0.500 0.250 Ga
```



# 3
The following is a PBE calculation of an optimized crystal structure of NaCuCl2F, from Alexandria.

ΔE to the lowest computed polymorph in meV per atom: 0
Space-group type: I4/mcm, No. 140
Total moment in Bohr magnetons per cell: 0.000
Raw formation energy in meV per atom: -1299

```
NaCuCl2F
1.0
-3.407 3.407 3.933
3.407 -3.407 3.933
3.407 3.407 -3.933
Na Cu Cl F
2 2 4 2
Direct
0.250 0.750 0.500 Na
0.750 0.250 0.500 Na
0.000 0.000 0.000 Cu
0.500 0.500 0.000 Cu
0.209 0.709 0.919 Cl
0.291 0.209 0.500 Cl
0.709 0.791 0.500 Cl
0.791 0.291 0.081 Cl
0.250 0.250 0.000 F
0.750 0.750 0.000 F
```



Question: Look up the total moment of the third one.
Answer: 0.000 Bohr magnetons per cell